VASP calculation (PBE) on a relaxed Er8C3S4O crystal.

## Properties
- ρ: 8.790 g/cm³
- Electronic total energy: -6.98 eV per atom
- Energy relative to the elements, uncorrected: -1.63 eV/atom
- Fermi-level density of states: 0.236 states/eV per atom

```
16
Lattice="3.6487 2.1066 6.2196 -3.6487 2.1066 6.2196 0.0000 -4.2131 6.2196" Properties=species:S:1:pos:R:3 pbc="T T T"
Er -1.8614 -1.0747 10.6545
Er 0.0000 0.0000 4.4448
Er 0.0000 -2.1494 8.0043
Er -1.8614 1.0747 8.0043
Er 1.8614 -1.0747 10.6545
Er 0.0000 2.1494 10.6545
Er 0.0000 0.0000 14.2140
Er 1.8614 1.0747 8.0043
C -3.6487 0.0000 9.3294
C -1.8243 1.0533 3.1098
C 1.8243 1.0533 3.1098
S 0.0000 0.0000 0.0000
S -1.8243 -1.0533 6.2196
S -1.8243 1.0533 12.4392
S 0.0000 2.1066 6.2196
O 0.0000 0.0000 9.3294
```